No. 1
Material: TbY7Th3
Method: DFT, PBE
State: relaxed

Cell and atoms, written as POSCAR:
```
TbY7Th3
1.0
7.115 0.000 0.000
-3.557 6.162 0.000
0.000 0.000 8.554
Tb Y Th
1 7 3
Direct
0.000 0.000 0.000 Tb
0.002 0.501 0.003 Y
0.331 0.165 0.343 Y
0.333 0.667 0.346 Y
0.499 0.501 0.003 Y
0.499 0.998 0.003 Y
0.835 0.165 0.343 Y
0.835 0.669 0.343 Y
0.167 0.333 0.674 Th
0.167 0.833 0.674 Th
0.667 0.833 0.674 Th
```

Properties
Calculated volume = 375 Å³/cell
Spin magnetization = 0.00 Bohr magnetons per cell
Fermi-level density of states = 15.62 states/eV per cell
E = -6.3447 eV/atom
Energy of formation = 21 kJ/mol of atoms
Relative energy among the computed polymorphs = 57 meV/atom

***

No. 2
Material: Tb4Y2Th
Method: DFT, PBE
State: relaxed

Cell and atoms, written as POSCAR:
```
Tb4Y2Th
1.0
-3.337 5.732 6.080
3.337 -5.732 6.080
3.337 5.732 -6.080
Tb Y Th
8 4 2
Direct
0.153 0.148 0.005 Tb
0.239 0.213 0.475 Tb
0.239 0.764 0.025 Tb
0.358 0.852 0.505 Tb
0.642 0.148 0.495 Tb
0.761 0.236 0.975 Tb
0.761 0.787 0.525 Tb
0.847 0.852 0.995 Tb
0.000 0.500 0.500 Y
0.028 0.278 0.750 Y
0.500 0.500 0.000 Y
0.972 0.722 0.250 Y
0.500 0.000 0.000 Th
0.500 0.500 0.500 Th
```

Properties
Calculated volume = 465 Å³/cell
Spin magnetization = 0.00 Bohr magnetons per cell
Fermi-level density of states = 24.89 states/eV per cell
E = -5.2452 eV/atom
Energy of formation = 30 kJ/mol of atoms
Relative energy among the computed polymorphs = 283 meV/atom

***

No. 3
Material: Tb2Y12Th
Method: DFT, PBE
State: relaxed

Cell and atoms, written as POSCAR:
```
Tb2Y12Th
1.0
3.514 -5.719 0.000
3.514 5.719 0.000
0.000 0.000 24.773
Tb Y Th
4 24 2
Direct
0.250 0.750 0.235 Tb
0.250 0.750 0.769 Tb
0.750 0.250 0.231 Tb
0.750 0.250 0.765 Tb
0.001 0.501 0.626 Y
0.001 0.999 0.424 Y
0.010 0.510 0.087 Y
0.014 0.986 0.939 Y
0.250 0.250 0.174 Y
0.250 0.250 0.301 Y
0.250 0.250 0.699 Y
0.250 0.250 0.826 Y
0.486 0.514 0.939 Y
0.490 0.990 0.087 Y
0.499 0.501 0.424 Y
0.499 0.999 0.626 Y
0.501 0.001 0.374 Y
0.501 0.499 0.576 Y
0.510 0.010 0.913 Y
0.514 0.486 0.061 Y
0.750 0.750 0.174 Y
0.750 0.750 0.301 Y
0.750 0.750 0.699 Y
0.750 0.750 0.826 Y
0.986 0.014 0.061 Y
0.990 0.490 0.913 Y
0.999 0.001 0.576 Y
0.999 0.499 0.374 Y
0.250 0.750 0.500 Th
0.750 0.250 0.500 Th
```

Properties
Calculated volume = 996 Å³/cell
Spin magnetization = 0.02 Bohr magnetons per cell
Fermi-level density of states = 52.85 states/eV per cell
E = -6.0980 eV/atom
Energy of formation = 18 kJ/mol of atoms

***

No. 4
Material: Tb2Y9Th
Method: DFT, PBE
State: relaxed

Cell and atoms, written as POSCAR:
```
Tb2Y9Th
1.0
5.057 0.000 0.000
0.000 5.057 0.000
0.000 0.000 15.150
Tb Y Th
2 9 1
Direct
0.000 0.000 0.167 Tb
0.000 0.000 0.833 Tb
0.000 0.500 0.000 Y
0.000 0.500 0.335 Y
0.000 0.500 0.665 Y
0.500 0.000 0.000 Y
0.500 0.000 0.335 Y
0.500 0.000 0.665 Y
0.500 0.500 0.165 Y
0.500 0.500 0.500 Y
0.500 0.500 0.835 Y
0.000 0.000 0.500 Th
```

Properties
Calculated volume = 387 Å³/cell
Spin magnetization = 0.00 Bohr magnetons per cell
Fermi-level density of states = 19.00 states/eV per cell
E = -6.2067 eV/atom
Energy of formation = 3 kJ/mol of atoms

***

No. 5
Material: TbY5Th4
Method: DFT, PBE
State: relaxed

Cell and atoms, written as POSCAR:
```
TbY5Th4
1.0
8.537 -1.749 0.000
8.537 1.749 0.000
-3.982 0.000 10.950
Tb Y Th
1 5 4
Direct
0.000 0.000 0.000 Tb
0.000 0.000 0.500 Y
0.290 0.290 0.386 Y
0.307 0.307 0.914 Y
0.693 0.693 0.086 Y
0.710 0.710 0.614 Y
0.097 0.097 0.795 Th
0.412 0.412 0.707 Th
0.588 0.588 0.293 Th
0.903 0.903 0.205 Th
```

Properties
Calculated volume = 327 Å³/cell
Spin magnetization = 0.00 Bohr magnetons per cell
Fermi-level density of states = 18.16 states/eV per cell
E = -6.5593 eV/atom
Energy of formation = 10 kJ/mol of atoms

***

No. 6
Material: TbYTh2
Method: DFT, PBE
State: relaxed

Cell and atoms, written as POSCAR:
```
TbYTh2
1.0
3.559 0.000 0.000
0.000 3.559 0.000
0.000 0.000 10.184
Tb Y Th
1 1 2
Direct
0.000 0.000 0.000 Tb
0.000 0.000 0.500 Y
0.500 0.500 0.249 Th
0.500 0.500 0.751 Th
```

Properties
Calculated volume = 129 Å³/cell
Spin magnetization = 0.00 Bohr magnetons per cell
Fermi-level density of states = 5.92 states/eV per cell
E = -6.4282 eV/atom
Energy of formation = 5 kJ/mol of atoms
Relative energy among the computed polymorphs = 25 meV/atom